Material: Li2Mg2AlGePd2
Method: DFT, PBE-GGA
State: relaxed

Output
Electronic total energy in eV for the cell shown: -30.07
V in Å³/atom: 15.31

a = 4.4245 Å, b = 4.4245 Å, c = 6.2584 Å
α = 90.00°, β = 90.00°, γ = 90.00°
Positions (direct):
Li  0.0000  0.5000  0.2457
Li  0.5000  0.0000  0.7543
Mg  0.0000  0.0000  0.0000
Mg  0.5000  0.5000  0.5000
Al  0.0000  0.0000  0.5000
Ge  0.5000  0.5000  0.0000
Pd  0.0000  0.5000  0.7450
Pd  0.5000  0.0000  0.2550